Record 1
TiVCo4 | Alexandria | GGA-PBE | relaxed; symmetry = F-43m, No. 216; energy of formation from the pure elements = -0.15 eV/atom; offset from the most stable computed form = 0 meV/atom
1.0
0.000 3.300 3.300
3.300 0.000 3.300
3.300 3.300 0.000
Ti V Co
1 1 4
direct
0.000 0.000 0.000
0.250 0.250 0.250
0.125 0.625 0.625
0.625 0.125 0.625
0.625 0.625 0.125
0.625 0.625 0.625

Record 2
NaNpCu2O8 | Alexandria | GGA-PBE | relaxed; E_form (uncorrected) = -11.91 eV per formula unit; symmetry = I-4m2, No. 119
1.0
-3.375 3.375 3.424
3.375 -3.375 3.424
3.375 3.375 -3.424
Na Np Cu O
1 1 2 8
direct
0.000 0.000 0.000
0.250 0.750 0.500
0.500 0.500 0.000
0.750 0.250 0.500
0.312 0.102 0.790
0.312 0.522 0.210
0.383 0.045 0.338
0.478 0.688 0.790
0.706 0.045 0.662
0.898 0.688 0.210
0.955 0.294 0.338
0.955 0.617 0.662

Record 3
Hf2GaP | Alexandria | GGA-PBE | relaxed; symmetry = R3m, No. 160; energy of formation from the pure elements = -0.78 eV/atom; offset from the most stable computed form = 15 meV/atom
1.0
3.513 0.000 0.000
-1.757 3.042 0.000
0.000 0.000 21.709
Hf Ga P
6 3 3
direct
0.000 0.000 0.000
0.000 0.000 0.194
0.333 0.667 0.667
0.333 0.667 0.861
0.667 0.333 0.333
0.667 0.333 0.528
0.000 0.000 0.765
0.333 0.667 0.431
0.667 0.333 0.098
0.000 0.000 0.597
0.333 0.667 0.263
0.667 0.333 0.930

Record 4
LaZn4Si | Alexandria | GGA-PBE | relaxed; E_form (uncorrected) = -0.06 eV per formula unit; symmetry = F-43m, No. 216
1.0
0.000 3.859 3.859
3.859 0.000 3.859
3.859 3.859 0.000
La Zn Si
1 4 1
direct
0.000 0.000 0.000
0.376 0.376 0.376
0.376 0.376 0.873
0.376 0.873 0.376
0.873 0.376 0.376
0.750 0.750 0.750

Record 5
LaNb3As | Alexandria | GGA-PBE | relaxed; symmetry = Pm-3m, No. 221; energy of formation from the pure elements = 0.39 eV/atom; offset from the most stable computed form = 0 meV/atom
1.0
4.913 0.000 0.000
0.000 4.913 0.000
0.000 0.000 4.913
La Nb As
1 3 1
direct
0.000 0.000 0.000
0.000 0.500 0.500
0.500 0.000 0.500
0.500 0.500 0.000
0.500 0.500 0.500

Record 6
TmZn9Ag2 | Alexandria | GGA-PBE | relaxed; symmetry = R-3m, No. 166; energy of formation from the pure elements = -0.13 eV/atom
1.0
2.603 1.503 8.305
-2.603 1.503 8.305
0.000 -3.006 8.305
Tm Zn Ag
1 9 2
direct
0.000 0.000 0.000
0.081 0.588 0.588
0.334 0.334 0.334
0.412 0.412 0.919
0.412 0.919 0.412
0.500 0.500 0.500
0.588 0.081 0.588
0.588 0.588 0.081
0.666 0.666 0.666
0.919 0.412 0.412
0.137 0.137 0.137
0.863 0.863 0.863

Record 7
RuW2Au | Alexandria | GGA-PBE | relaxed; symmetry = Cmmm, No. 65; energy of formation from the pure elements = 0.25 eV/atom; offset from the most stable computed form = 66 meV/atom
1.0
5.538 0.000 0.000
0.000 8.064 0.000
0.000 0.000 2.821
Ru W Au
2 4 2
direct
0.000 0.000 0.000
0.500 0.500 0.000
0.250 0.250 0.500
0.250 0.750 0.500
0.750 0.250 0.500
0.750 0.750 0.500
0.000 0.500 0.000
0.500 0.000 0.000

Record 8
Pr3Ti | Alexandria | GGA-PBE | relaxed; symmetry = Pm-3m, No. 221; energy of formation from the pure elements = 0.26 eV/atom
1.0
4.973 0.000 0.000
0.000 4.973 0.000
0.000 0.000 4.973
Pr Ti
3 1
direct
0.000 0.000 0.500
0.000 0.500 0.000
0.500 0.000 0.000
0.500 0.500 0.500